(a)
The following is a DFT calculation (PBE) of a relaxed structure of GdDyEr2. Values from VASP.

Structure (Quantum ESPRESSO input):
```
&SYSTEM
  ibrav = 0, nat = 4, ntyp = 3
/
ATOMIC_SPECIES
Er 167.26 Er.upf
Gd 157.25 Gd.upf
Dy 162.50 Dy.upf
CELL_PARAMETERS angstrom
4.980 0.000 0.000
0.000 5.000 0.000
0.000 0.000 5.000
ATOMIC_POSITIONS crystal
Er 0.000 0.500 0.000
Er 0.000 0.000 0.500
Gd 0.500 0.000 0.000
Dy 0.500 0.500 0.500
```

=====

(b)
The following is a DFT calculation (PBE) of a relaxed structure of GdDyEr2. Values from VASP.

Structure (Quantum ESPRESSO input):
```
&SYSTEM
  ibrav = 0, nat = 4, ntyp = 3
/
ATOMIC_SPECIES
Dy 162.50 Dy.upf
Er 167.26 Er.upf
Gd 157.25 Gd.upf
CELL_PARAMETERS angstrom
5.636 0.000 0.000
2.818 4.881 0.000
2.818 1.627 4.602
ATOMIC_POSITIONS crystal
Dy 0.500 0.500 0.500
Er 0.750 0.750 0.750
Er 0.250 0.250 0.250
Gd 0.000 0.000 0.000
```

=====

Relative stability in kJ/mol of atoms, measured from the most stable structure: (a) 0.0; (b) 9.3